# MoAsBr GGA-PBE relaxed
data_MoAsBr
_space_group_name_H-M_alt 'F -4 3 m'
_space_group_IT_number 216
_space_group_name_Hall 'F -4 2 3'
_cell_length_a 6.3691
_cell_length_b 6.3691
_cell_length_c 6.3691
_cell_angle_alpha 90.00
_cell_angle_beta 90.00
_cell_angle_gamma 90.00
loop_
_atom_site_label
_atom_site_fract_x
_atom_site_fract_y
_atom_site_fract_z
Mo1 0.0000 0.0000 0.0000
As1 0.2500 0.2500 0.2500
Br1 0.2500 0.2500 0.7500
# Spin magnetization, μB/f.u.: 1.92
# Energy above the most stable polymorph in this dataset, eV/atom: 0.367
# Volume, Å³/cell: 258.4